No. 1
Entry from Alexandria via LeMat-Bulk: an optimized crystal structure of Fe2As2Os (PBE).

a b c (Å): 6.720 6.720 3.038
angles (deg): 90.00 90.00 90.00
Space group P4/mbm (No. 127)
Inequivalent atoms, fractional coordinates:
Fe  0.134  0.366  0.000 (multiplicity 4)
As  0.161  0.661  0.500 (multiplicity 4)
Os  0.000  0.000  0.500 (multiplicity 2)

Computed properties:
The density of states at the Fermi level is 6.5 states/eV/cell. For the formation energy, the calculation gives 0.251 eV per atom.

No. 2
Entry from Alexandria via LeMat-Bulk: an optimized crystal structure of FeAsOs2 (PBE).

a b c (Å): 2.822 3.838 5.228
angles (deg): 90.00 90.00 90.00
Space group Pmm2 (No. 25)
Inequivalent atoms, fractional coordinates:
Fe  0.000  0.000  0.000 (multiplicity 1)
As  0.500  0.500  0.775 (multiplicity 1)
Os  0.000  0.000  0.487 (multiplicity 1)
Os  0.500  0.500  0.263 (multiplicity 1)

Computed properties:
The density of states at the Fermi level is 3.9 states/eV/cell. For the formation energy, the calculation gives 0.362 eV per atom.

No. 3
Entry from Alexandria via LeMat-Bulk: an optimized crystal structure of FeAsPOs2 (PBE).

a b c (Å): 4.335 4.335 4.609
angles (deg): 90.00 90.00 90.00
Space group P4/mmm (No. 123)
Inequivalent atoms, fractional coordinates:
Fe  0.000  0.000  0.000 (multiplicity 1)
As  0.500  0.500  0.000 (multiplicity 1)
P  0.500  0.500  0.500 (multiplicity 1)
Os  0.000  0.500  0.500 (multiplicity 2)

Computed properties:
The density of states at the Fermi level is 7.0 states/eV/cell. For the formation energy, the calculation gives 1.495 eV per atom.